(1)
Nd8Tl2Tc (PBE-GGA, relaxed); formation energy from the elements = -1.3 eV/f.u.; calculated density = 8.153 Mg/m³; E = -4.960 eV/atom; space group = C2/m
1.0
5.731 0.000 0.000
0.000 7.170 -0.110
-2.865 -3.211 8.281
Nd Tl Tc
8 2 1
direct
0.392 0.601 0.785
0.638 0.900 0.277
0.803 0.765 0.607
0.993 0.234 0.986
0.197 0.235 0.393
0.362 0.100 0.723
0.608 0.399 0.215
0.007 0.766 0.014
0.815 0.311 0.630
0.185 0.689 0.370
0.500 0.000 0.000

(2)
SmAgBr4 (PBE-GGA, relaxed); calculated density = 3.811 Mg/m³; E = -3.669 eV/atom; E_form (uncorrected) = -1.292 eV/atom; space group = C2/m
1.0
-1.339 2.404 -5.121
-10.388 0.021 6.027
5.076 6.339 1.648
Sm Ag Br
2 2 8
direct
0.178 0.356 0.280
0.822 0.644 0.720
0.174 0.348 0.839
0.826 0.652 0.161
0.109 0.218 0.478
0.078 0.157 0.946
0.702 0.403 0.341
0.721 0.441 0.831
0.279 0.559 0.169
0.298 0.597 0.659
0.922 0.843 0.054
0.891 0.782 0.522